The following is a PBEsol calculation of a relaxed ZnIr2Pb crystal, from Alexandria via LeMat-Bulk.

a b c (Å): 2.9412 4.2069 5.4463
angles (deg): 90.00 102.86 90.00
Closest atoms and distances in Å follow each position.
Sites, in units of the cell vectors:
Ir  0.8323  0.0000  0.7194  2 Zn 2.52, 2 Ir 2.73-2.78
Ir  0.1677  0.0000  0.2806  2 Zn 2.52, 2 Ir 2.73-2.78
Zn  0.0000  0.5000  0.5000  4 Ir 2.52, 2 Pb 2.79
Pb  0.5000  0.5000  0.0000  2 Zn 2.79, 8 Ir 2.89-3.05, 2 Pb 2.94

Its space group is P2/m, No. 10. The calculated total energy is -23.83 eV/cell. For the density of states at the Fermi level, the calculation gives 2.33 states/eV/f.u. As for the total magnetization: 0.000 μB per atom. The calculation puts the energy relative to the elements at 0.35 eV per atom.